(1)
Pm4BeRh3, optimized geometry, DFT PBE; SG = Pmm2; ΔH_f (0 K) = -560 meV/atom; uncorrected energy = -49.26 eV/cell; density = 8.1 g cm⁻³
1.0
4.020 0.000 0.000
0.000 4.120 0.000
0.000 0.000 11.053
Pm Be Rh
4 1 3
Direct
0.000 0.000 0.000 Pm
0.000 0.500 0.273 Pm
0.500 0.000 0.491 Pm
0.500 0.500 0.778 Pm
0.000 0.000 0.687 Be
0.000 0.500 0.584 Rh
0.500 0.000 0.227 Rh
0.500 0.500 0.045 Rh



(2)
PmScBeRh, optimized geometry, DFT PBE; SG = F-43m; ΔH_f (0 K) = -307 meV/atom; uncorrected energy = -93.55 eV/cell; density = 6.5 g cm⁻³
1.0
6.765 0.000 0.000
0.000 6.765 0.000
0.000 0.000 6.765
Pm Sc Be Rh
4 4 4 4
Direct
0.000 0.000 0.000 Pm
0.000 0.500 0.500 Pm
0.500 0.000 0.500 Pm
0.500 0.500 0.000 Pm
0.000 0.000 0.500 Sc
0.000 0.500 0.000 Sc
0.500 0.000 0.000 Sc
0.500 0.500 0.500 Sc
0.250 0.250 0.250 Be
0.250 0.750 0.750 Be
0.750 0.250 0.750 Be
0.750 0.750 0.250 Be
0.250 0.250 0.750 Rh
0.250 0.750 0.250 Rh
0.750 0.250 0.250 Rh
0.750 0.750 0.750 Rh



(3)
PmBeSi2Rh, optimized geometry, DFT PBE; SG = I-4m2; formation energy (no corrections) = -762 meV per atom; uncorrected energy = -60.97 eV/cell; density = 6.4 g cm⁻³
1.0
3.971 0.000 0.000
0.000 3.971 0.000
0.000 0.000 10.272
Pm Be Si Rh
2 2 4 2
Direct
0.000 0.000 0.000 Pm
0.500 0.500 0.500 Pm
0.000 0.500 0.750 Be
0.500 0.000 0.250 Be
0.000 0.000 0.380 Si
0.000 0.000 0.620 Si
0.500 0.500 0.120 Si
0.500 0.500 0.880 Si
0.000 0.500 0.250 Rh
0.500 0.000 0.750 Rh



(4)
Pm2Be3Si4Rh, optimized geometry, DFT PBE; SG = P-4m2; formation energy (no corrections) = -545 meV per atom; uncorrected energy = -55.18 eV/cell; density = 5.7 g cm⁻³
1.0
3.969 0.000 0.000
0.000 3.969 0.000
0.000 0.000 9.888
Pm Be Si Rh
2 3 4 1
Direct
0.000 0.500 0.242 Pm
0.500 0.000 0.758 Pm
0.000 0.500 0.870 Be
0.500 0.000 0.130 Be
0.500 0.500 0.500 Be
0.000 0.000 0.000 Si
0.000 0.500 0.634 Si
0.500 0.000 0.366 Si
0.500 0.500 0.000 Si
0.000 0.000 0.500 Rh



(5)
Pm2BeSi4Rh3, optimized geometry, DFT PBE; SG = P-4m2; formation energy (no corrections) = -861 meV per atom; uncorrected energy = -65.58 eV/cell; density = 7.1 g cm⁻³
1.0
4.132 0.000 0.000
0.000 4.132 0.000
0.000 0.000 9.896
Pm Be Si Rh
2 1 4 3
Direct
0.000 0.500 0.248 Pm
0.500 0.000 0.752 Pm
0.500 0.500 0.000 Be
0.000 0.000 0.500 Si
0.000 0.500 0.870 Si
0.500 0.000 0.130 Si
0.500 0.500 0.500 Si
0.000 0.000 0.000 Rh
0.000 0.500 0.625 Rh
0.500 0.000 0.375 Rh



(6)
Pm2BeSi3Rh4, optimized geometry, DFT PBE; SG = P-4m2; formation energy (no corrections) = -969 meV per atom; uncorrected energy = -68.60 eV/cell; density = 7.9 g cm⁻³
1.0
4.147 0.000 0.000
0.000 4.147 0.000
0.000 0.000 9.744
Pm Be Si Rh
2 1 3 4
Direct
0.000 0.500 0.245 Pm
0.500 0.000 0.755 Pm
0.500 0.500 0.000 Be
0.000 0.000 0.000 Si
0.000 0.500 0.631 Si
0.500 0.000 0.369 Si
0.000 0.000 0.500 Rh
0.000 0.500 0.880 Rh
0.500 0.000 0.120 Rh
0.500 0.500 0.500 Rh



(7)
Pm3BeSi6Rh2, optimized geometry, DFT PBE; SG = P-3m1; formation energy (no corrections) = -383 meV per atom; uncorrected energy = -69.81 eV/cell; density = 6.0 g cm⁻³
1.0
5.370 0.000 0.000
-2.685 4.650 0.000
0.000 0.000 9.119
Pm Be Si Rh
3 1 6 2
Direct
0.000 0.000 0.000 Pm
0.333 0.667 0.583 Pm
0.667 0.333 0.417 Pm
0.000 0.000 0.500 Be
0.160 0.321 0.284 Si
0.160 0.840 0.284 Si
0.321 0.160 0.716 Si
0.679 0.840 0.284 Si
0.840 0.160 0.716 Si
0.840 0.679 0.716 Si
0.333 0.667 0.092 Rh
0.667 0.333 0.908 Rh



(8)
PmBeSiRh3, optimized geometry, DFT PBE; SG = Cmcm; formation energy (no corrections) = -675 meV per atom; uncorrected energy = -80.01 eV/cell; density = 8.2 g cm⁻³
1.0
2.974 -5.746 0.000
2.974 5.746 0.000
0.000 0.000 5.793
Pm Be Si Rh
2 2 2 6
Direct
0.228 0.772 0.750 Pm
0.772 0.228 0.250 Pm
0.486 0.514 0.750 Be
0.514 0.486 0.250 Be
0.119 0.881 0.250 Si
0.881 0.119 0.750 Si
0.232 0.232 0.000 Rh
0.232 0.232 0.500 Rh
0.317 0.683 0.250 Rh
0.683 0.317 0.750 Rh
0.768 0.768 0.000 Rh
0.768 0.768 0.500 Rh



(9)
PmYBeRh, optimized geometry, DFT PBE; SG = F-43m; ΔH_f (0 K) = -298 meV/atom; uncorrected energy = -93.94 eV/cell; density = 6.8 g cm⁻³
1.0
6.968 0.000 0.000
0.000 6.968 0.000
0.000 0.000 6.968
Pm Y Be Rh
4 4 4 4
Direct
0.000 0.000 0.000 Pm
0.000 0.500 0.500 Pm
0.500 0.000 0.500 Pm
0.500 0.500 0.000 Pm
0.000 0.000 0.500 Y
0.000 0.500 0.000 Y
0.500 0.000 0.000 Y
0.500 0.500 0.500 Y
0.250 0.250 0.250 Be
0.250 0.750 0.750 Be
0.750 0.250 0.750 Be
0.750 0.750 0.250 Be
0.250 0.250 0.750 Rh
0.250 0.750 0.250 Rh
0.750 0.250 0.250 Rh
0.750 0.750 0.750 Rh



(10)
Pm2BeZnRh2, optimized geometry, DFT PBE; SG = Ibam; ΔH_f (0 K) = -549 meV/atom; uncorrected energy = -64.99 eV/cell; density = 8.2 g cm⁻³
1.0
-2.944 6.891 2.850
2.944 -6.891 2.850
2.944 6.891 -2.850
Pm Be Zn Rh
4 2 2 4
Direct
0.166 0.234 0.401 Pm
0.334 0.734 0.068 Pm
0.666 0.266 0.932 Pm
0.834 0.766 0.599 Pm
0.250 0.750 0.500 Be
0.750 0.250 0.500 Be
0.250 0.250 0.000 Zn
0.750 0.750 0.000 Zn
0.106 0.708 0.813 Rh
0.394 0.208 0.602 Rh
0.606 0.792 0.398 Rh
0.894 0.292 0.187 Rh



(11)
PmBeZn2Rh2, optimized geometry, DFT PBE; SG = P4/mmm; ΔH_f (0 K) = -467 meV/atom; uncorrected energy = -28.53 eV/cell; density = 8.1 g cm⁻³
1.0
4.265 0.000 0.000
0.000 4.265 0.000
0.000 0.000 5.553
Pm Be Zn Rh
1 1 2 2
Direct
0.000 0.000 0.000 Pm
0.000 0.000 0.500 Be
0.500 0.500 0.231 Zn
0.500 0.500 0.769 Zn
0.000 0.500 0.500 Rh
0.500 0.000 0.500 Rh



(12)
Pm2BeRu, optimized geometry, DFT PBE; SG = P4/mmm; relative energy among the computed polymorphs = 0.000 eV per atom; ΔH_f (0 K) = 1 meV/atom; uncorrected energy = -22.50 eV/cell; density = 7.7 g cm⁻³
1.0
3.525 0.000 0.000
0.000 3.525 0.000
0.000 0.000 6.909
Pm Be Ru
2 1 1
Direct
0.000 0.000 0.249 Pm
0.000 0.000 0.751 Pm
0.500 0.500 0.500 Be
0.500 0.500 0.000 Ru



(13)
Pm2BeRu, optimized geometry, DFT PBE; SG = Fm-3m; relative energy among the computed polymorphs = 0.009 eV per atom; ΔH_f (0 K) = 10 meV/atom; uncorrected energy = -89.85 eV/cell; density = 7.7 g cm⁻³
1.0
7.022 0.000 0.000
0.000 7.022 0.000
0.000 0.000 7.022
Pm Be Ru
8 4 4
Direct
0.250 0.250 0.250 Pm
0.250 0.250 0.750 Pm
0.250 0.750 0.250 Pm
0.250 0.750 0.750 Pm
0.750 0.250 0.250 Pm
0.750 0.250 0.750 Pm
0.750 0.750 0.250 Pm
0.750 0.750 0.750 Pm
0.000 0.000 0.000 Be
0.000 0.500 0.500 Be
0.500 0.000 0.500 Be
0.500 0.500 0.000 Be
0.000 0.000 0.500 Ru
0.000 0.500 0.000 Ru
0.500 0.000 0.000 Ru
0.500 0.500 0.500 Ru



(14)
PmBeRu, optimized geometry, DFT PBE; SG = P4/nmm; relative energy among the computed polymorphs = 0.000 eV per atom; ΔH_f (0 K) = -274 meV/atom; uncorrected energy = -37.15 eV/cell; density = 7.5 g cm⁻³
1.0
4.339 0.000 0.000
0.000 4.339 0.000
0.000 0.000 6.027
Pm Be Ru
2 2 2
Direct
0.250 0.250 0.177 Pm
0.750 0.750 0.823 Pm
0.250 0.250 0.641 Be
0.750 0.750 0.359 Be
0.250 0.750 0.500 Ru
0.750 0.250 0.500 Ru



(15)
PmBeRu, optimized geometry, DFT PBE; SG = Pnma; relative energy among the computed polymorphs = 0.152 eV per atom; ΔH_f (0 K) = -122 meV/atom; uncorrected energy = -72.47 eV/cell; density = 7.5 g cm⁻³
1.0
13.373 0.000 0.000
0.000 3.598 0.000
0.000 0.000 4.702
Pm Be Ru
4 4 4
Direct
0.147 0.250 0.133 Pm
0.353 0.750 0.633 Pm
0.647 0.250 0.367 Pm
0.853 0.750 0.867 Pm
0.019 0.250 0.617 Be
0.481 0.750 0.117 Be
0.519 0.250 0.883 Be
0.981 0.750 0.383 Be
0.125 0.750 0.634 Ru
0.375 0.250 0.134 Ru
0.625 0.750 0.866 Ru
0.875 0.250 0.366 Ru



(16)
PmBeRu, optimized geometry, DFT PBE; SG = P-6m2; relative energy among the computed polymorphs = 0.094 eV per atom; ΔH_f (0 K) = -180 meV/atom; uncorrected energy = -18.29 eV/cell; density = 7.6 g cm⁻³
1.0
3.985 0.000 0.000
-1.993 3.451 0.000
0.000 0.000 4.031
Pm Be Ru
1 1 1
Direct
0.000 0.000 0.000 Pm
0.667 0.333 0.500 Be
0.333 0.667 0.500 Ru



(17)
PmBe2Ru, optimized geometry, DFT PBE; SG = P4/mmm; ΔH_f (0 K) = -118 meV/atom; uncorrected energy = -21.95 eV/cell; density = 7.3 g cm⁻³
1.0
3.102 0.000 0.000
0.000 3.102 0.000
0.000 0.000 6.218
Pm Be Ru
1 2 1
Direct
0.000 0.000 0.000 Pm
0.500 0.500 0.335 Be
0.500 0.500 0.665 Be
0.000 0.000 0.500 Ru



(18)
Pm2BeRu2, optimized geometry, DFT PBE; SG = Immm; ΔH_f (0 K) = -250 meV/atom; uncorrected energy = -66.06 eV/cell; density = 8.6 g cm⁻³
1.0
3.484 0.000 0.000
0.000 6.341 0.000
0.000 0.000 8.771
Pm Be Ru
4 2 4
Direct
0.000 0.000 0.203 Pm
0.000 0.000 0.797 Pm
0.500 0.500 0.297 Pm
0.500 0.500 0.703 Pm
0.000 0.500 0.000 Be
0.500 0.000 0.500 Be
0.000 0.241 0.500 Ru
0.000 0.759 0.500 Ru
0.500 0.259 0.000 Ru
0.500 0.741 0.000 Ru



(19)
PmBeRu, optimized geometry, DFT PBE; SG = Pnma; relative energy among the computed polymorphs = 0.087 eV per atom; ΔH_f (0 K) = -187 meV/atom; uncorrected energy = -73.26 eV/cell; density = 8.0 g cm⁻³
1.0
6.996 0.000 0.000
0.000 4.166 0.000
0.000 0.000 7.300
Pm Be Ru
4 4 4
Direct
0.008 0.250 0.197 Pm
0.492 0.750 0.697 Pm
0.508 0.250 0.303 Pm
0.992 0.750 0.803 Pm
0.179 0.250 0.586 Be
0.321 0.750 0.086 Be
0.679 0.250 0.914 Be
0.821 0.750 0.414 Be
0.165 0.750 0.434 Ru
0.335 0.250 0.934 Ru
0.665 0.750 0.066 Ru
0.835 0.250 0.566 Ru



(20)
Pm2Be4Si3Ru, optimized geometry, DFT PBE; SG = P-4m2; formation energy (no corrections) = -429 meV per atom; uncorrected energy = -54.24 eV/cell; density = 5.7 g cm⁻³
1.0
3.871 0.000 0.000
0.000 3.871 0.000
0.000 0.000 9.992
Pm Be Si Ru
2 4 3 1
Direct
0.000 0.500 0.244 Pm
0.500 0.000 0.756 Pm
0.000 0.000 0.000 Be
0.000 0.500 0.631 Be
0.500 0.000 0.369 Be
0.500 0.500 0.000 Be
0.000 0.500 0.870 Si
0.500 0.000 0.130 Si
0.500 0.500 0.500 Si
0.000 0.000 0.500 Ru



(21)
PmBe2SiRu, optimized geometry, DFT PBE; SG = Imm2; formation energy (no corrections) = -353 meV per atom; uncorrected energy = -57.34 eV/cell; density = 6.3 g cm⁻³
1.0
3.884 0.000 0.000
0.000 3.896 0.000
0.000 0.000 10.220
Pm Be Si Ru
2 4 2 2
Direct
0.000 0.000 0.000 Pm
0.500 0.500 0.500 Pm
0.000 0.000 0.625 Be
0.000 0.500 0.248 Be
0.500 0.000 0.748 Be
0.500 0.500 0.125 Be
0.000 0.000 0.374 Si
0.500 0.500 0.874 Si
0.000 0.500 0.740 Ru
0.500 0.000 0.240 Ru



(22)
TbPmBeRu, optimized geometry, DFT PBE; SG = F-43m; ΔH_f (0 K) = -50 meV/atom; uncorrected energy = -90.33 eV/cell; density = 8.2 g cm⁻³
1.0
6.941 0.000 0.000
0.000 6.941 0.000
0.000 0.000 6.941
Tb Pm Be Ru
4 4 4 4
Direct
0.000 0.000 0.000 Tb
0.000 0.500 0.500 Tb
0.500 0.000 0.500 Tb
0.500 0.500 0.000 Tb
0.000 0.000 0.500 Pm
0.000 0.500 0.000 Pm
0.500 0.000 0.000 Pm
0.500 0.500 0.500 Pm
0.250 0.250 0.750 Be
0.250 0.750 0.250 Be
0.750 0.250 0.250 Be
0.750 0.750 0.750 Be
0.250 0.250 0.250 Ru
0.250 0.750 0.750 Ru
0.750 0.250 0.750 Ru
0.750 0.750 0.250 Ru



(23)
Pm2BeS4, optimized geometry, DFT PBE; SG = P2_1/m; formation energy (no corrections) = -1716 meV per atom; uncorrected energy = -83.50 eV/cell; density = 4.8 g cm⁻³
1.0
6.281 0.000 0.000
0.000 6.383 0.000
-2.403 0.000 7.353
Pm Be S
4 2 8
Direct
0.223 0.250 0.054 Pm
0.261 0.250 0.567 Pm
0.739 0.750 0.433 Pm
0.777 0.750 0.946 Pm
0.234 0.750 0.804 Be
0.766 0.250 0.196 Be
0.008 0.502 0.743 S
0.008 0.998 0.743 S
0.415 0.750 0.086 S
0.427 0.750 0.622 S
0.573 0.250 0.378 S
0.585 0.250 0.914 S
0.992 0.002 0.257 S
0.992 0.498 0.257 S



(24)
Pm4BeSb2, optimized geometry, DFT PBE; SG = I4/mmm; formation energy (no corrections) = -477 meV per atom; uncorrected energy = -68.62 eV/cell; density = 6.5 g cm⁻³
1.0
5.059 0.000 0.000
0.000 5.059 0.000
0.000 0.000 16.535
Pm Be Sb
8 2 4
Direct
0.000 0.000 0.171 Pm
0.000 0.000 0.829 Pm
0.000 0.500 0.000 Pm
0.000 0.500 0.500 Pm
0.500 0.000 0.000 Pm
0.500 0.000 0.500 Pm
0.500 0.500 0.329 Pm
0.500 0.500 0.671 Pm
0.000 0.000 0.000 Be
0.500 0.500 0.500 Be
0.000 0.000 0.364 Sb
0.000 0.000 0.636 Sb
0.500 0.500 0.136 Sb
0.500 0.500 0.864 Sb



(25)
PmScBe2, optimized geometry, DFT PBE; SG = P4/mmm; relative energy among the computed polymorphs = 0.000 eV per atom; ΔH_f (0 K) = 78 meV/atom; uncorrected energy = -18.22 eV/cell; density = 4.6 g cm⁻³
1.0
3.342 0.000 0.000
0.000 3.342 0.000
0.000 0.000 6.668
Pm Sc Be
1 1 2
Direct
0.000 0.000 0.000 Pm
0.000 0.000 0.500 Sc
0.500 0.500 0.304 Be
0.500 0.500 0.696 Be